1.
Ac2DyTh, relaxed, DFT PBE-GGA; E_form = 0.1261 eV per atom; total magnetization = 0.000 μB per atom; total energy = -4.9336 eV per atom
1.0
5.3257 0.0000 0.0000
0.0000 5.3257 0.0000
0.0000 0.0000 5.3319
Ac Dy Th
2 1 1
Direct
0.0000 0.5000 0.0000 Ac
0.5000 0.0000 0.0000 Ac
0.0000 0.0000 0.5000 Dy
0.5000 0.5000 0.5000 Th

2.
Ac2DyTh, relaxed, DFT PBE-GGA; E_form = 0.2618 eV per atom; total magnetization = 0.001 μB per atom; total energy = -4.7979 eV per atom
1.0
0.0000 4.2388 4.2388
4.2388 0.0000 4.2388
4.2388 4.2388 0.0000
Ac Dy Th
2 1 1
Direct
0.2500 0.2500 0.2500 Ac
0.7500 0.7500 0.7500 Ac
0.0000 0.0000 0.0000 Dy
0.5000 0.5000 0.5000 Th

3.
AcDyTmTh, relaxed, DFT PBE-GGA; E_form = 0.1338 eV per atom; total magnetization = 0.000 μB per atom; total energy = -5.0167 eV per atom
1.0
0.0000 4.0937 4.0937
4.0937 0.0000 4.0937
4.0937 4.0937 0.0000
Ac Dy Tm Th
1 1 1 1
Direct
0.0000 0.0000 0.0000 Ac
0.2500 0.2500 0.2500 Dy
0.7500 0.7500 0.7500 Tm
0.5000 0.5000 0.5000 Th

4.
AcDyYTh, relaxed, DFT PBE-GGA; E_form = 0.0392 eV per atom; total magnetization = 0.000 μB per atom; total energy = -5.6094 eV per atom
1.0
3.6967 0.0000 0.0000
0.0000 3.6967 0.0000
0.0000 0.0000 10.2244
Ac Dy Y Th
1 1 1 1
Direct
0.0000 0.0000 0.0000 Ac
0.5000 0.5000 0.2693 Dy
0.5000 0.5000 0.7286 Y
0.0000 0.0000 0.4978 Th

5.
AcDyYTh, relaxed, DFT PBE-GGA; E_form = 0.1397 eV per atom; total magnetization = 0.000 μB per atom; total energy = -5.5089 eV per atom
1.0
0.0000 4.1170 4.1170
4.1170 0.0000 4.1170
4.1170 4.1170 0.0000
Ac Dy Y Th
1 1 1 1
Direct
0.0000 0.0000 0.0000 Ac
0.7500 0.7500 0.7500 Dy
0.2500 0.2500 0.2500 Y
0.5000 0.5000 0.5000 Th

6.
AcDy2Tl3, relaxed, DFT PBE-GGA; E_form = -0.3410 eV per atom; total magnetization = 0.000 μB per atom; total energy = -3.7429 eV per atom
1.0
3.8664 0.0000 0.0000
0.0000 3.8664 0.0000
0.0000 0.0000 11.9497
Ac Dy Tl
1 2 3
Direct
0.0000 0.0000 0.0000 Ac
0.0000 0.0000 0.3440 Dy
0.0000 0.0000 0.6560 Dy
0.5000 0.5000 0.1923 Tl
0.5000 0.5000 0.5000 Tl
0.5000 0.5000 0.8077 Tl

7.
AcDyTl3, relaxed, DFT PBE-GGA; E_form = -0.2693 eV per atom; total magnetization = 0.000 μB per atom; total energy = -3.4312 eV per atom
1.0
9.4499 -2.5983 0.0000
9.4499 2.5983 0.0000
-1.2264 0.0000 6.5396
Ac Dy Tl
2 2 6
Direct
0.0899 0.0899 0.3154 Ac
0.9101 0.9101 0.6846 Ac
0.2903 0.2903 0.1630 Dy
0.7097 0.7097 0.8370 Dy
0.1218 0.1218 0.8380 Tl
0.2802 0.2802 0.6530 Tl
0.4725 0.4725 0.2364 Tl
0.5275 0.5275 0.7636 Tl
0.7198 0.7198 0.3470 Tl
0.8782 0.8782 0.1620 Tl

8.
Ac2DyTl, relaxed, DFT PBE-GGA; E_form = 0.1262 eV per atom; total magnetization = 0.000 μB per atom; total energy = -3.6701 eV per atom
1.0
1.9041 1.0993 12.8938
-1.9041 1.0993 12.8938
0.0000 -2.1986 12.8938
Ac Dy Tl
2 1 1
Direct
0.0897 0.0897 0.0897 Ac
0.9103 0.9103 0.9103 Ac
0.5000 0.5000 0.5000 Dy
0.0000 0.0000 0.0000 Tl

9.
AcDy7Tl4, relaxed, DFT PBE-GGA; E_form = 0.0191 eV per atom; total magnetization = 0.000 μB per atom; total energy = -3.7966 eV per atom
1.0
7.2815 -2.9461 0.0000
7.2815 2.9461 0.0000
-5.7358 0.0000 8.7273
Ac Dy Tl
1 7 4
Direct
0.0000 0.0000 0.0000 Ac
0.0616 0.0616 0.3967 Dy
0.2105 0.2105 0.8788 Dy
0.2806 0.2806 0.3464 Dy
0.5000 0.5000 0.0000 Dy
0.7194 0.7194 0.6536 Dy
0.7895 0.7895 0.1212 Dy
0.9384 0.9384 0.6033 Dy
0.3111 0.3111 0.6677 Tl
0.4394 0.4394 0.2475 Tl
0.5606 0.5606 0.7525 Tl
0.6889 0.6889 0.3323 Tl

10.
Ac5Dy2Tl4, relaxed, DFT PBE-GGA; E_form = -0.0245 eV per atom; total magnetization = 0.000 μB per atom; total energy = -3.5892 eV per atom
1.0
12.9046 -1.8981 0.0000
12.9046 1.8981 0.0000
-0.3561 0.0000 8.3996
Ac Dy Tl
5 2 4
Direct
0.0000 0.0000 0.0000 Ac
0.2669 0.2669 0.2310 Ac
0.3616 0.3616 0.8744 Ac
0.6384 0.6384 0.1256 Ac
0.7331 0.7331 0.7690 Ac
0.4117 0.4117 0.2985 Dy
0.5883 0.5883 0.7015 Dy
0.1574 0.1574 0.4744 Tl
0.4641 0.4641 0.6441 Tl
0.5359 0.5359 0.3559 Tl
0.8426 0.8426 0.5256 Tl

11.
Ac2DyTl, relaxed, DFT PBE-GGA; E_form = -0.0422 eV per atom; total magnetization = 0.093 μB per atom; total energy = -3.8385 eV per atom
1.0
1.9555 1.1290 11.4814
-1.9555 1.1290 11.4814
0.0000 -2.2581 11.4814
Ac Dy Tl
2 1 1
Direct
0.0000 0.0000 0.0000 Ac
0.1737 0.1737 0.1737 Ac
0.7534 0.7534 0.7534 Dy
0.5868 0.5868 0.5868 Tl

12.
AcDy2Tl4, relaxed, DFT PBE-GGA; E_form = -0.1716 eV per atom; total magnetization = 0.000 μB per atom; total energy = -3.4256 eV per atom
1.0
5.3575 0.0000 0.0000
0.0000 5.3575 0.0000
0.0000 0.0000 7.8714
Ac Dy Tl
1 2 4
Direct
0.0000 0.0000 0.0000 Ac
0.0000 0.0000 0.5000 Dy
0.5000 0.5000 0.0000 Dy
0.0000 0.5000 0.2812 Tl
0.0000 0.5000 0.7188 Tl
0.5000 0.0000 0.2812 Tl
0.5000 0.0000 0.7188 Tl

Repeat the first record exactly.
Ac2DyTh, relaxed, DFT PBE-GGA; E_form = 0.1261 eV per atom; total magnetization = 0.000 μB per atom; total energy = -4.9336 eV per atom
1.0
5.3257 0.0000 0.0000
0.0000 5.3257 0.0000
0.0000 0.0000 5.3319
Ac Dy Th
2 1 1
Direct
0.0000 0.5000 0.0000 Ac
0.5000 0.0000 0.0000 Ac
0.0000 0.0000 0.5000 Dy
0.5000 0.5000 0.5000 Th

Question: The lowest E_form belongs to which entry?
Answer: AcDy2Tl3

Question: The highest total energy belongs to which entry?
Answer: AcDy2Tl4